1.
# Mg2AgCl

A relaxed structure of Mg2AgCl (PBE, Alexandria via LeMat-Bulk). Values from VASP.

Structure (Quantum ESPRESSO input):
```
&SYSTEM
  ibrav = 0, nat = 4, ntyp = 3
/
ATOMIC_SPECIES
Mg 24.30 Mg.upf
Ag 107.87 Ag.upf
Cl 35.45 Cl.upf
CELL_PARAMETERS angstrom
3.208 0.047 0.000
-0.047 3.208 0.000
0.000 0.000 8.976
ATOMIC_POSITIONS crystal
Mg 0.500 0.500 0.249
Ag 0.000 0.000 0.441
Cl 0.500 0.500 0.827
Mg 0.000 0.000 0.983
```

Properties
* magnetization: 0.00 Bohr magnetons per cell
* polymorph energy (0 for the lowest one): 178 meV per atom
* energy relative to the elements, uncorrected: -0.440 eV per atom
* space-group type: P4mm

***

2.
# MgAgCl

A relaxed structure of MgAgCl (PBE, Alexandria via LeMat-Bulk). Values from VASP.

Structure (Quantum ESPRESSO input):
```
&SYSTEM
  ibrav = 0, nat = 6, ntyp = 3
/
ATOMIC_SPECIES
Mg 24.30 Mg.upf
Cl 35.45 Cl.upf
Ag 107.87 Ag.upf
CELL_PARAMETERS angstrom
-1.021 3.201 0.216
-2.174 -2.401 -0.932
-3.727 -2.151 14.236
ATOMIC_POSITIONS crystal
Mg 0.556 0.111 0.000
Cl 0.222 0.444 0.895
Cl 0.222 0.444 0.105
Ag 0.666 0.333 0.636
Mg 0.334 0.667 0.500
Ag 0.666 0.333 0.364
```

Properties
* magnetization: 0.00 Bohr magnetons per cell
* polymorph energy (0 for the lowest one): 11 meV per atom
* energy relative to the elements, uncorrected: -0.671 eV per atom
* space-group type: Amm2

***

3.
# MgAgCl2

A relaxed structure of MgAgCl2 (PBE, Alexandria via LeMat-Bulk). Values from VASP.

Structure (Quantum ESPRESSO input):
```
&SYSTEM
  ibrav = 0, nat = 4, ntyp = 3
/
ATOMIC_SPECIES
Cl 35.45 Cl.upf
Ag 107.87 Ag.upf
Mg 24.30 Mg.upf
CELL_PARAMETERS angstrom
-2.241 -2.441 3.662
1.153 -4.719 0.890
2.522 -1.200 4.073
ATOMIC_POSITIONS crystal
Cl 0.250 0.250 0.250
Ag 0.500 0.500 0.500
Mg 0.750 0.750 0.750
Cl 0.000 0.000 0.000
```

Properties
* magnetization: 0.00 Bohr magnetons per cell
* polymorph energy (0 for the lowest one): 795 meV per atom
* energy relative to the elements, uncorrected: -0.263 eV per atom
* space-group type: F-43m

***

4.
# Mg2AgCl

A relaxed structure of Mg2AgCl (PBE, Alexandria via LeMat-Bulk). Values from VASP.

Structure (Quantum ESPRESSO input):
```
&SYSTEM
  ibrav = 0, nat = 4, ntyp = 3
/
ATOMIC_SPECIES
Ag 107.87 Ag.upf
Cl 35.45 Cl.upf
Mg 24.30 Mg.upf
CELL_PARAMETERS angstrom
-1.330 1.003 -3.056
-5.823 -0.798 2.272
-0.031 4.003 1.326
ATOMIC_POSITIONS crystal
Ag 0.500 0.000 0.500
Cl 0.000 0.500 0.500
Mg 0.500 0.500 0.000
Mg 0.000 0.000 0.000
```

Properties
* magnetization: 0.00 Bohr magnetons per cell
* polymorph energy (0 for the lowest one): 363 meV per atom
* energy relative to the elements, uncorrected: -0.256 eV per atom
* space-group type: Pmmm

***

5.
# MgAgCl2

A relaxed structure of MgAgCl2 (PBE, Alexandria via LeMat-Bulk). Values from VASP.

Structure (Quantum ESPRESSO input):
```
&SYSTEM
  ibrav = 0, nat = 4, ntyp = 3
/
ATOMIC_SPECIES
Ag 107.87 Ag.upf
Cl 35.45 Cl.upf
Mg 24.30 Mg.upf
CELL_PARAMETERS angstrom
6.194 0.023 -0.088
5.303 3.201 -0.088
4.191 1.175 5.774
ATOMIC_POSITIONS crystal
Ag 0.776 0.776 0.810
Cl 0.118 0.118 0.291
Mg 0.535 0.535 0.592
Cl 0.071 0.071 0.807
```

Properties
* magnetization: 0.00 Bohr magnetons per cell
* polymorph energy (0 for the lowest one): 188 meV per atom
* energy relative to the elements, uncorrected: -0.870 eV per atom
* space-group type: Cm

***

6.
# Mg2AgCl

A relaxed structure of Mg2AgCl (PBE, Alexandria via LeMat-Bulk). Values from VASP.

Structure (Quantum ESPRESSO input):
```
&SYSTEM
  ibrav = 0, nat = 4, ntyp = 3
/
ATOMIC_SPECIES
Cl 35.45 Cl.upf
Mg 24.30 Mg.upf
Ag 107.87 Ag.upf
CELL_PARAMETERS angstrom
5.090 0.000 0.000
2.545 4.408 0.000
2.545 1.469 4.156
ATOMIC_POSITIONS crystal
Cl 0.250 0.250 0.250
Mg 0.000 0.000 0.000
Mg 0.750 0.750 0.750
Ag 0.500 0.500 0.500
```

Properties
* magnetization: 0.00 Bohr magnetons per cell
* polymorph energy (0 for the lowest one): 694 meV per atom
* energy relative to the elements, uncorrected: 0.076 eV per atom
* space-group type: F-43m